No. 1
# WSe2

WSe2 after structural relaxation (PBE, Alexandria).

Unit cell a=5.2034 b=5.2034 c=10.5951 alpha=90.00 beta=90.00 gamma=120.00
Fractional positions:
Se 0.0000 0.0000 0.0000
Se 0.0000 0.0000 0.5000
Se 0.8350 0.6700 0.2500
Se 0.1650 0.3300 0.7500
Se 0.3300 0.1650 0.2500
Se 0.8350 0.1650 0.2500
Se 0.1650 0.8350 0.7500
Se 0.6700 0.8350 0.7500
W 0.3333 0.6667 0.9491
W 0.6667 0.3333 0.4491
W 0.6667 0.3333 0.0509
W 0.3333 0.6667 0.5509

## Properties
Its total energy is -67.83 eV for the cell shown. The calculation puts the uncorrected formation energy at 2.96 eV/f.u. The total magnetization comes out at 0.000 μB per cell.

No. 2
# NdDy2Sb

NdDy2Sb after structural relaxation (PBE, Alexandria).

Unit cell a=4.1306 b=6.5166 c=9.6638 alpha=90.00 beta=90.00 gamma=108.48
Fractional positions:
Nd 0.9432 0.8863 0.2500
Nd 0.0568 0.1137 0.7500
Dy 0.3621 0.7242 0.5414
Dy 0.6379 0.2758 0.4586
Dy 0.3621 0.7242 0.9586
Dy 0.6379 0.2758 0.0414
Sb 0.7635 0.5270 0.7500
Sb 0.2365 0.4730 0.2500

## Properties
Its total energy is -40.69 eV for the cell shown. The calculation puts the uncorrected formation energy at -2.25 eV/f.u. The total magnetization comes out at 1.244 μB per cell.

No. 3
# CaPd

CaPd after structural relaxation (PBE, Alexandria).

Unit cell a=4.9633 b=4.9633 c=5.8322 alpha=90.00 beta=90.00 gamma=120.00
Fractional positions:
Ca 0.3333 0.6667 0.2500
Ca 0.6667 0.3333 0.7500
Pd 0.3333 0.6667 0.7500
Pd 0.6667 0.3333 0.2500

## Properties
For the formation enthalpy at 0 K, the calculation gives -0.24 eV per atom. Its total energy is -15.37 eV for the cell shown. The total magnetization comes out at 0.000 μB per cell.

> Number 3 is which compound?

CaPd